w | The following is a DFT calculation (PBE-GGA) of a geometry-optimized Hf3Zn2N structure.

Summary:
DOS(E_F): 0.385 states/eV/atom
Total moment: 0.00 μB/cell

POSCAR file:
```
Hf3Zn2N
1.0
4.999 0.000 0.000
0.000 6.283 0.000
-2.499 -1.572 6.470
Hf Zn N
6 4 2
Direct
0.500 0.250 0.000
0.500 0.750 0.000
0.114 0.057 0.229
0.885 0.443 0.771
0.115 0.557 0.229
0.886 0.943 0.771
0.696 0.597 0.390
0.694 0.097 0.390
0.306 0.903 0.610
0.304 0.403 0.610
0.000 0.750 0.000
0.000 0.250 0.000
```

=====

x | The following is a DFT calculation (PBE-GGA) of a geometry-optimized Hf3Zn2N structure.

Summary:
DOS(E_F): 0.922 states/eV/atom
Total moment: 0.00 μB/cell

POSCAR file:
```
Hf3Zn2N
1.0
7.265 0.000 0.000
0.000 7.265 0.000
0.000 0.000 7.265
Hf Zn N
12 8 4
Direct
0.625 0.292 0.542
0.708 0.042 0.875
0.542 0.625 0.292
0.958 0.375 0.792
0.292 0.542 0.625
0.458 0.125 0.208
0.042 0.875 0.708
0.792 0.958 0.375
0.208 0.458 0.125
0.875 0.708 0.042
0.375 0.792 0.958
0.125 0.208 0.458
0.571 0.429 0.929
0.679 0.679 0.679
0.929 0.571 0.429
0.429 0.929 0.571
0.179 0.821 0.321
0.821 0.321 0.179
0.321 0.179 0.821
0.071 0.071 0.071
0.875 0.125 0.625
0.125 0.625 0.875
0.625 0.875 0.125
0.375 0.375 0.375
```

=====

Question: of the structures shown, which is the most stable? Reply: x.